Model w:
VASP calculation (meta-GGA SCAN) on a PBEsol-optimized structure of Cu4Pt5.

N(E_F), states/eV per cell: 12.8

Lattice parameters (Å, degrees): 7.9728 7.9728 3.8379 90.00 90.00 90.00
Last column: nearest neighbours and their distance in Å.
Space group I4/mmm (No. 139)
Asymmetric unit:
Cu  0.0000  0.3400  0.0000 x8  5 Cu 2.55-2.63, 7 Pt 2.63-2.71
Pt  0.0000  0.0000  0.0000 x2  4 Cu 2.71, 8 Pt 2.71
Pt  0.1699  0.1699  0.5000 x8  6 Cu 2.63-2.71, 6 Pt 2.64-2.71

***

Model x:
VASP calculation (meta-GGA SCAN) on a PBEsol-optimized structure of Cu4Pt5.

N(E_F), states/eV per cell: 7.4

Lattice parameters (Å, degrees): 4.6436 4.6466 5.9507 75.18 83.02 80.62
Last column: nearest neighbours and their distance in Å.
Space group P1 (No. 1)
Asymmetric unit:
Cu  0.0000  0.0000  0.0000 x1  4 Cu 2.60-2.67, 8 Pt 2.64-2.76
Cu  0.1101  0.5466  0.7878 x1  6 Pt 2.61-2.73, 6 Cu 2.62-2.72
Cu  0.2242  0.1108  0.5696 x1  7 Pt 2.59-2.74, 5 Cu 2.60-2.72
Cu  0.6741  0.3285  0.6785 x1  5 Cu 2.60-2.71, 7 Pt 2.62-2.69
Pt  0.3368  0.6582  0.3521 x1  5 Cu 2.63-2.76, 7 Pt 2.67-2.74
Pt  0.4471  0.2200  0.1125 x1  5 Cu 2.62-2.74, 7 Pt 2.65-2.77
Pt  0.5463  0.7800  0.8924 x1  7 Cu 2.59-2.73, 5 Pt 2.62-2.74
Pt  0.7883  0.8848  0.4640 x1  6 Cu 2.61-2.76, 6 Pt 2.62-2.77
Pt  0.8955  0.4405  0.2303 x1  5 Cu 2.65-2.70, 7 Pt 2.68-2.74

***

Stability verdict: model w, ahead by 5 meV per atom

***

Model w:
VASP calculation (meta-GGA SCAN) on a PBEsol-optimized structure of Cu3Pt5.

N(E_F), states/eV per cell: 12.5

Lattice parameters (Å, degrees): 7.4004 7.7403 3.8368 90.00 90.00 90.00
Last column: nearest neighbours and their distance in Å.
Space group Cmmm (No. 65)
Asymmetric unit:
Cu  0.0000  0.0000  0.0000 x2  8 Pt 2.62-2.68, 4 Cu 2.73
Cu  0.0000  0.2511  0.5000 x4  10 Pt 2.64-2.72, 2 Cu 2.73
Pt  0.0000  0.5000  0.0000 x2  8 Pt 2.68-2.71, 4 Cu 2.72
Pt  0.2413  0.0000  0.5000 x4  6 Cu 2.62-2.72, 6 Pt 2.71-2.73
Pt  0.2500  0.2500  0.0000 x4  6 Cu 2.67-2.68, 6 Pt 2.68-2.73

***

Model x:
VASP calculation (meta-GGA SCAN) on a PBEsol-optimized structure of Cu3Pt5.

N(E_F), states/eV per cell: 6.4

Lattice parameters (Å, degrees): 4.6620 4.6621 5.3749 89.93 73.36 80.49
Last column: nearest neighbours and their distance in Å.
Space group P1 (No. 1)
Asymmetric unit:
Cu  0.0000  0.0000  0.0000 x1  8 Pt 2.63-2.71, 4 Cu 2.67-2.70
Cu  0.0032  0.4953  0.2468 x1  9 Pt 2.62-2.75, 3 Cu 2.66-2.70
Cu  0.4967  0.2479  0.8775 x1  9 Pt 2.64-2.73, 3 Cu 2.66-2.69
Pt  0.4984  0.7502  0.6277 x1  8 Pt 2.66-2.72, 4 Cu 2.68-2.73
Pt  0.5010  0.2490  0.3677 x1  5 Cu 2.64-2.73, 7 Pt 2.67-2.75
Pt  0.5019  0.7485  0.1223 x1  6 Pt 2.66-2.71, 6 Cu 2.67-2.70
Pt  0.9968  0.9991  0.4970 x1  5 Cu 2.67-2.71, 7 Pt 2.68-2.75
Pt  0.9979  0.4920  0.7606 x1  6 Cu 2.62-2.75, 6 Pt 2.66-2.75

***

Stability verdict: model w, ahead by 13 meV per atom